Tb2YZn2Si4Au2 | PBE | relaxed

The structure in POSCAR format:
```
Tb2YZn2Si4Au2
1.0
-2.019 2.102 12.523
2.019 -2.102 12.523
2.019 2.102 -12.523
Tb Y Zn Si Au
2 1 2 4 2
Direct
0.146 0.146 0.000
0.854 0.854 0.000
0.500 0.000 0.500
0.249 0.749 0.500
0.751 0.251 0.500
0.047 0.547 0.500
0.308 0.308 0.000
0.692 0.692 0.000
0.953 0.453 0.500
0.405 0.405 0.000
0.595 0.595 0.000
```

total magnetization: 0.0 μB/f.u.
space-group type: No. 71
polymorph energy (0 for the lowest one): 0.00 eV per formula unit